22
Lattice="1.591 -5.316 0.000 1.591 5.316 0.000 0.000 0.000 16.327" Properties=species:S:1:pos:R:3 comment="TbHf4N6 PBE-GGA relaxed" raw_formation_energy_ev_per_atom=-1.76 vol_a3_per_fu=138 pbc="T T T"
Tb 1.591 3.743 12.245
Tb 1.591 -3.743 4.082
Hf 1.591 4.182 2.246
Hf 1.591 4.182 5.917
Hf 1.591 1.388 0.780
Hf 1.591 1.388 7.383
Hf 1.591 -1.388 8.944
Hf 1.591 -1.388 15.547
Hf 1.591 -4.182 10.410
Hf 1.591 -4.182 14.081
N 0.000 0.000 0.000
N 0.000 0.000 8.163
N 1.591 3.294 4.082
N 1.591 2.438 9.498
N 1.591 2.438 14.993
N 1.591 0.357 2.586
N 1.591 0.357 5.577
N 1.591 -0.357 10.750
N 1.591 -0.357 13.741
N 1.591 -2.438 1.334
N 1.591 -2.438 6.829
N 1.591 -3.294 12.245